(1)
Here is crystalline LiW at its relaxed geometry from Alexandria. Energies are from GGA-PBEsol.

- Polymorph energy (0 for the lowest one): 0.0000 eV per atom
- Space-group type: R-3m, No. 166
- Crystal system: trigonal
- V: 64.1 Å³ per cell
- Calculated formation energy: 0.828 eV/f.u.

Unit cell a=2.7278 b=2.7278 c=10.0664 alpha=82.21 beta=82.21 gamma=60.00
Sites, in units of the cell vectors:
W (0.3739, 0.3739, 0.8782)
W (0.6261, 0.6261, 0.1218)
Li (0.8772, 0.8772, 0.3683)
Li (0.1228, 0.1228, 0.6317)

=====

(2)
Here is crystalline LiYW4 at its relaxed geometry from Alexandria. Energies are from GGA-PBEsol.

- Space-group type: F-43m, No. 216
- Crystal system: cubic
- V: 110.6 Å³ per cell
- Calculated formation energy: 3.191 eV/f.u.

Unit cell a=5.3883 b=5.3883 c=5.3883 alpha=60.00 beta=60.00 gamma=60.00
Sites, in units of the cell vectors:
W (0.3745, 0.3745, 0.8764)
W (0.8764, 0.3745, 0.3745)
W (0.3745, 0.3745, 0.3745)
W (0.3745, 0.8764, 0.3745)
Y (0.7500, 0.7500, 0.7500)
Li (0.0000, 0.0000, 0.0000)

=====

(3)
Here is crystalline LiY2W at its relaxed geometry from Alexandria. Energies are from GGA-PBEsol.

- Polymorph energy (0 for the lowest one): 0.0262 eV per atom
- Space-group type: P4mm, No. 99
- Crystal system: tetragonal
- V: 87.1 Å³ per cell
- Calculated formation energy: 2.475 eV/f.u.

Unit cell a=2.9842 b=2.9842 c=9.7835 alpha=90.00 beta=90.00 gamma=90.00
Sites, in units of the cell vectors:
Li (0.0000, 0.0000, 0.5331)
W (0.5000, 0.5000, 0.7318)
Y (0.5000, 0.5000, 0.2761)
Y (0.0000, 0.0000, 0.9590)

=====

(4)
Here is crystalline LiY2W at its relaxed geometry from Alexandria. Energies are from GGA-PBEsol.

- Polymorph energy (0 for the lowest one): 0.0000 eV per atom
- Space-group type: Pmm2, No. 25
- Crystal system: orthorhombic
- V: 87.8 Å³ per cell
- Calculated formation energy: 2.371 eV/f.u.

Unit cell a=2.9631 b=4.7985 c=6.1719 alpha=90.00 beta=90.00 gamma=90.00
Sites, in units of the cell vectors:
Y (0.5000, 0.5000, 0.2758)
Y (0.0000, 0.0000, 0.9467)
Li (0.0000, 0.0000, 0.5035)
W (0.5000, 0.5000, 0.7740)

=====

(5)
Here is crystalline LiYW2 at its relaxed geometry from Alexandria. Energies are from GGA-PBEsol.

- Polymorph energy (0 for the lowest one): 0.0000 eV per atom
- Space-group type: P4mm, No. 99
- Crystal system: tetragonal
- V: 72.5 Å³ per cell
- Calculated formation energy: 2.631 eV/f.u.

Unit cell a=2.7395 b=2.7395 c=9.6612 alpha=90.00 beta=90.00 gamma=90.00
Sites, in units of the cell vectors:
W (0.5000, 0.5000, 0.2332)
W (0.0000, 0.0000, 0.0025)
Li (0.5000, 0.5000, 0.7774)
Y (0.0000, 0.0000, 0.4869)

=====

(6)
Here is crystalline LiY2W at its relaxed geometry from Alexandria. Energies are from GGA-PBEsol.

- Polymorph energy (0 for the lowest one): 0.0527 eV per atom
- Space-group type: P2/m, No. 10
- Crystal system: monoclinic
- V: 87.4 Å³ per cell
- Calculated formation energy: 2.581 eV/f.u.

Unit cell a=3.0025 b=5.3223 c=5.9614 alpha=113.39 beta=90.00 gamma=90.00
Sites, in units of the cell vectors:
Li (0.5000, 0.5000, 0.0000)
Y (0.0000, 0.0000, 0.0000)
Y (0.5000, 0.5000, 0.5000)
W (0.0000, 0.0000, 0.5000)

=====

(7)
Here is crystalline LiY2W at its relaxed geometry from Alexandria. Energies are from GGA-PBEsol.

- Polymorph energy (0 for the lowest one): 0.0845 eV per atom
- Space-group type: R3m, No. 160
- Crystal system: trigonal
- V: 88.7 Å³ per cell
- Calculated formation energy: 2.709 eV/f.u.

Unit cell a=3.0949 b=3.0949 c=10.8467 alpha=81.80 beta=81.80 gamma=60.00
Sites, in units of the cell vectors:
Y (0.9900, 0.9900, 0.0301)
Y (0.7532, 0.7532, 0.7405)
Li (0.5092, 0.5092, 0.4723)
W (0.2476, 0.2476, 0.2571)

=====

(8)
Here is crystalline LiYW2 at its relaxed geometry from Alexandria. Energies are from GGA-PBEsol.

- Polymorph energy (0 for the lowest one): 0.0875 eV per atom
- Space-group type: P4/mmm, No. 123
- Crystal system: tetragonal
- V: 69.9 Å³ per cell
- Calculated formation energy: 2.981 eV/f.u.

Unit cell a=2.7109 b=2.7109 c=9.5083 alpha=90.00 beta=90.00 gamma=90.00
Sites, in units of the cell vectors:
Li (0.5000, 0.5000, 0.5000)
Y (0.5000, 0.5000, 0.0000)
W (0.0000, 0.0000, 0.2645)
W (0.0000, 0.0000, 0.7355)

=====

(9)
Here is crystalline LiZn2W at its relaxed geometry from Alexandria. Energies are from GGA-PBEsol.

- Polymorph energy (0 for the lowest one): 0.3552 eV per atom
- Space-group type: I4/mmm, No. 139
- Crystal system: tetragonal
- V: 55.4 Å³ per cell
- Calculated formation energy: 1.741 eV/f.u.

Unit cell a=3.9763 b=4.4940 c=3.9763 alpha=63.74 beta=90.00 gamma=116.26
Last column: magnetic moment on the atom in μB.
Sites, in units of the cell vectors:
Zn (0.2500, 0.5000, 0.2500)  0.01
Zn (0.7500, 0.5000, 0.7500)  0.01
Li (0.5000, 0.0000, 0.5000)  0.00
W (0.0000, 0.0000, 0.0000)  0.30

=====

(10)
Here is crystalline LiZnW2 at its relaxed geometry from Alexandria. Energies are from GGA-PBEsol.

- Space-group type: P4/mmm, No. 123
- Crystal system: tetragonal
- V: 59.2 Å³ per cell
- Calculated formation energy: 1.980 eV/f.u.

Unit cell a=2.5951 b=2.5951 c=8.7935 alpha=90.00 beta=90.00 gamma=90.00
Sites, in units of the cell vectors:
Li (0.5000, 0.5000, 0.5000)
Zn (0.5000, 0.5000, 0.0000)
W (0.0000, 0.0000, 0.7593)
W (0.0000, 0.0000, 0.2407)

=====

(11)
Here is crystalline LiZn2W at its relaxed geometry from Alexandria. Energies are from GGA-PBEsol.

- Polymorph energy (0 for the lowest one): 0.0464 eV per atom
- Space-group type: R-3m, No. 166
- Crystal system: trigonal
- V: 58.8 Å³ per cell
- Calculated formation energy: 0.506 eV/f.u.

Unit cell a=2.7290 b=2.7290 c=9.2542 alpha=81.52 beta=81.52 gamma=60.00
Sites, in units of the cell vectors:
W (0.0000, 0.0000, 0.0000)
Zn (0.7508, 0.7508, 0.7477)
Zn (0.2492, 0.2492, 0.2523)
Li (0.5000, 0.5000, 0.5000)

=====

(12)
Here is crystalline LiZn2W at its relaxed geometry from Alexandria. Energies are from GGA-PBEsol.

- Polymorph energy (0 for the lowest one): 0.0000 eV per atom
- Space-group type: P4/mmm, No. 123
- Crystal system: tetragonal
- V: 54.4 Å³ per cell
- Calculated formation energy: 0.320 eV/f.u.

Unit cell a=2.7439 b=2.7439 c=7.2222 alpha=90.00 beta=90.00 gamma=90.00
Sites, in units of the cell vectors:
Zn (0.0000, 0.0000, 0.7700)
Zn (0.0000, 0.0000, 0.2300)
Li (0.5000, 0.5000, 0.0000)
W (0.5000, 0.5000, 0.5000)

=====

(13)
Here is crystalline LiZn2W at its relaxed geometry from Alexandria. Energies are from GGA-PBEsol.

- Polymorph energy (0 for the lowest one): 0.1084 eV per atom
- Space-group type: Cmm2, No. 35
- Crystal system: orthorhombic
- V: 57.8 Å³ per cell
- Calculated formation energy: 0.753 eV/f.u.

Unit cell a=2.6087 b=2.6087 c=8.7368 alpha=90.00 beta=90.00 gamma=103.39
Sites, in units of the cell vectors:
Zn (0.5000, 0.5000, 0.7517)
Zn (0.0000, 0.0000, 0.9960)
Li (0.0000, 0.0000, 0.5082)
W (0.5000, 0.5000, 0.2441)

=====

(14)
Here is crystalline Li2ZnW at its relaxed geometry from Alexandria. Energies are from GGA-PBEsol.

- Space-group type: Pmmm, No. 47
- Crystal system: orthorhombic
- V: 58.5 Å³ per cell
- Calculated formation energy: 1.458 eV/f.u.

Unit cell a=2.5481 b=4.7448 c=4.8387 alpha=90.00 beta=90.00 gamma=90.00
Sites, in units of the cell vectors:
Li (0.5000, 0.5000, 0.0000)
Li (0.0000, 0.0000, 0.0000)
W (0.5000, 0.0000, 0.5000)
Zn (0.0000, 0.5000, 0.5000)

=====

(15)
Here is crystalline LiZn2W at its relaxed geometry from Alexandria. Energies are from GGA-PBEsol.

- Polymorph energy (0 for the lowest one): 0.4048 eV per atom
- Space-group type: I-4m2, No. 119
- Crystal system: tetragonal
- V: 55.6 Å³ per cell
- Calculated formation energy: 1.939 eV/f.u.

Unit cell a=3.7108 b=3.7108 c=4.8148 alpha=112.67 beta=112.67 gamma=90.00
Sites, in units of the cell vectors:
Li (0.5000, 0.5000, 0.0000)
Zn (0.7500, 0.2500, 0.5000)
Zn (0.0000, 0.0000, 0.0000)
W (0.2500, 0.7500, 0.5000)